Entry a
VASP calculation (PBE-GGA) on a geometry-optimized TeSeCl2 structure.

The structure belongs to space group Immm (No. 71); the cell edges are 3.492, 4.831 and 14.662 Å and the angles 90.00°, 90.00° and 90.00°. Symmetry generates all atoms from Te at (0.000, 0.000, 0.000), Se at (0.000, 0.000, 0.500) and Cl at (0.000, 0.500, 0.352).


Entry b
VASP calculation (PBE-GGA) on a geometry-optimized TeSeCl2 structure.

The structure belongs to space group Cmmm (No. 65); the cell edges are 3.410, 6.058 and 10.292 Å and the angles 90.00°, 90.00° and 90.00°. Symmetry generates all atoms from Te at (0.000, 0.000, 0.000), Se at (0.000, 0.000, 0.500) and Cl at (0.000, 0.500, 0.197).


Energy ordering: entry a at the bottom, the next structure 13.4 kJ/mol of atoms above.


Entry a
VASP calculation (PBE-GGA) on a geometry-optimized TeSeCl2 structure.

The structure belongs to space group R-3m (No. 166, hexagonal axes); the cell edges are 3.2847, 3.2847 and 36.8628 Å and the angles 90.00°, 90.00° and 120.00°. Symmetry generates all atoms from Te at (0.0000, 0.0000, 0.0000), Se at (0.0000, 0.0000, 0.5000) and Cl at (0.0000, 0.0000, 0.4381).


Entry b
VASP calculation (PBE-GGA) on a geometry-optimized TeSeCl2 structure.

The structure belongs to space group Pm (No. 6); the cell edges are 6.099, 3.810 and 6.994 Å and the angles 90.00°, 110.27° and 90.00°. Symmetry generates all atoms from Te at (0.000, 0.000, 0.000), Se at (0.827, 0.500, 0.726), Cl at (0.217, 0.500, 0.295) and Cl at (0.688, 0.000, 0.130).


Entry c
VASP calculation (PBE-GGA) on a geometry-optimized TeSeCl2 structure.

The structure belongs to space group Cm (No. 8); the cell edges are 7.729, 3.878 and 8.674 Å and the angles 90.00°, 101.36° and 90.00°. Symmetry generates all atoms from Te at (0.000, 0.000, 0.000), Se at (0.168, 0.500, 0.205), Cl at (0.026, 0.500, 0.410) and Cl at (0.366, 0.000, 0.788).


Entry d
VASP calculation (PBE-GGA) on a geometry-optimized TeSeCl2 structure.

The structure belongs to space group P4/mmm (No. 123); the cell edges are 4.418, 4.418 and 4.521 Å and the angles 90.00°, 90.00° and 90.00°. Symmetry generates all atoms from Te at (0.000, 0.000, 0.000), Se at (0.500, 0.500, 0.000) and Cl at (0.000, 0.500, 0.500).


Energy ordering: entry b at the bottom, the next structure 6.1 kJ/mol of atoms above.


Entry a
VASP calculation (PBE-GGA) on a geometry-optimized TeSeCl2 structure.

The structure belongs to space group P4mm (No. 99); the cell edges are 4.368, 4.368 and 7.187 Å and the angles 90.00°, 90.00° and 90.00°. Symmetry generates all atoms from Te at (0.000, 0.000, 0.000), Se at (0.500, 0.500, 0.962), Cl at (0.000, 0.000, 0.670) and Cl at (0.500, 0.500, 0.268).


Entry b
VASP calculation (PBE-GGA) on a geometry-optimized TeSeCl2 structure.

The structure belongs to space group I4/mmm (No. 139); the cell edges are 4.420, 4.420 and 8.978 Å and the angles 90.00°, 90.00° and 90.00°. Symmetry generates all atoms from Te at (0.000, 0.000, 0.000), Se at (0.000, 0.000, 0.500) and Cl at (0.000, 0.500, 0.250).


Energy ordering: entry a at the bottom, the next structure 42.6 kJ/mol of atoms above.


Entry a
VASP calculation (PBE-GGA) on a geometry-optimized Te2Se2Cl structure.

The structure belongs to space group I4/mmm (No. 139); the cell edges are 5.651, 5.651 and 8.912 Å and the angles 90.00°, 90.00° and 90.00°. Symmetry generates all atoms from Te at (0.000, 0.000, 0.182), Se at (0.000, 0.500, 0.250) and Cl at (0.000, 0.000, 0.500).


Entry b
VASP calculation (PBE-GGA) on a geometry-optimized Te2Se2Cl structure.

The structure belongs to space group P-1 (No. 2); the cell edges are 6.891, 8.287 and 8.315 Å and the angles 71.03°, 88.40° and 72.84°. Symmetry generates all atoms from Te at (0.061, 0.062, 0.232), Te at (0.270, 0.564, 0.436), Se at (0.003, 0.216, 0.816), Se at (0.296, 0.856, 0.495) and Cl at (0.213, 0.332, 0.278).


Entry c
VASP calculation (PBE-GGA) on a geometry-optimized Te2Se2Cl structure.

The structure belongs to space group P4/mbm (No. 127); the cell edges are 8.017, 8.017 and 3.918 Å and the angles 90.00°, 90.00° and 90.00°. Symmetry generates all atoms from Te at (0.165, 0.335, 0.000), Se at (0.155, 0.655, 0.500) and Cl at (0.000, 0.000, 0.000).


Energy ordering: entry b at the bottom, the next structure 9.6 kJ/mol of atoms above.